{"formula": "ScTa3Nb", "functional": "PBE", "state": "relaxed", "cell": [[4.896, 0.000, 0.000], [0.000, 4.896, 0.000], [0.000, 0.000, 4.896]], "species": ["Sc", "Ta", "Ta", "Ta", "Nb"], "fractional_positions": [[0.000, 0.000, 0.000], [0.000, 0.500, 0.500], [0.500, 0.000, 0.500], [0.500, 0.500, 0.000], [0.500, 0.500, 0.500]], "n_ef_per_ev_cell": 3.935, "de_polymorph_mev_per_atom": 0, "total_magnetization_mub_per_cell": 0.000, "e_form_ev_per_atom": 1.281, "final_energy_ev_per_atom": -9.111, "crystal_system": "cubic", "mass_density_g_cm3": 9.6}

{"formula": "ScTaNb", "functional": "PBE", "state": "relaxed", "cell": [[2.919, 0.000, 0.000], [0.957, 5.671, 0.000], [0.862, 1.432, 7.087]], "species": ["Sc", "Sc", "Ta", "Ta", "Nb", "Nb"], "fractional_positions": [[0.000, 0.000, 0.000], [0.167, 0.181, 0.352], [0.592, 0.661, 0.347], [0.782, 0.831, 0.668], [0.341, 0.354, 0.680], [0.492, 0.519, 0.996]], "n_ef_per_ev_cell": 8.291, "de_polymorph_mev_per_atom": 15, "total_magnetization_mub_per_cell": 0.000, "e_form_ev_per_atom": 0.129, "final_energy_ev_per_atom": -9.289, "crystal_system": "triclinic", "mass_density_g_cm3": 9.0}

{"formula": "ScTaNb2Te", "functional": "PBE", "state": "relaxed", "cell": [[5.004, 0.000, 0.000], [0.000, 5.004, 0.000], [0.000, 0.000, 4.989]], "species": ["Sc", "Ta", "Nb", "Nb", "Te"], "fractional_positions": [[0.000, 0.000, 0.000], [0.500, 0.500, 0.000], [0.000, 0.500, 0.500], [0.500, 0.000, 0.500], [0.000, 0.000, 0.500]], "n_ef_per_ev_cell": 6.839, "total_magnetization_mub_per_cell": 0.000, "e_form_raw_ev_per_atom": 1.274, "final_energy_ev_per_atom": -7.020, "crystal_system": "tetragonal", "mass_density_g_cm3": 7.2}

{"formula": "ScTaTiNb", "functional": "PBE", "state": "relaxed", "cell": [[6.713, 0.000, 0.000], [0.000, 6.713, 0.000], [0.000, 0.000, 6.713]], "species": ["Sc", "Sc", "Sc", "Sc", "Ta", "Ta", "Ta", "Ta", "Ti", "Ti", "Ti", "Ti", "Nb", "Nb", "Nb", "Nb"], "fractional_positions": [[0.000, 0.000, 0.000], [0.000, 0.500, 0.500], [0.500, 0.000, 0.500], [0.500, 0.500, 0.000], [0.000, 0.000, 0.500], [0.000, 0.500, 0.000], [0.500, 0.000, 0.000], [0.500, 0.500, 0.500], [0.250, 0.250, 0.250], [0.250, 0.750, 0.750], [0.750, 0.250, 0.750], [0.750, 0.750, 0.250], [0.250, 0.250, 0.750], [0.250, 0.750, 0.250], [0.750, 0.250, 0.250], [0.750, 0.750, 0.750]], "n_ef_per_ev_cell": 26.280, "total_magnetization_mub_per_cell": 2.486, "e_form_ev_per_atom": 0.131, "final_energy_ev_per_atom": -8.906, "crystal_system": "cubic", "mass_density_g_cm3": 8.1}

{"formula": "YSc2TaNb", "functional": "PBE", "state": "relaxed", "cell": [[5.035, 0.000, 0.000], [0.000, 5.035, 0.000], [0.000, 0.000, 5.307]], "species": ["Y", "Sc", "Sc", "Ta", "Nb"], "fractional_positions": [[0.000, 0.000, 0.000], [0.000, 0.500, 0.500], [0.500, 0.000, 0.500], [0.000, 0.000, 0.500], [0.500, 0.500, 0.000]], "n_ef_per_ev_cell": 9.636, "total_magnetization_mub_per_cell": 0.000, "e_form_ev_per_atom": 1.219, "final_energy_ev_per_atom": -6.991, "crystal_system": "tetragonal", "mass_density_g_cm3": 5.6}

{"formula": "TbScNb4", "functional": "PBE", "state": "relaxed", "cell": [[0.000, 4.004, 4.004], [4.004, 0.000, 4.004], [4.004, 4.004, 0.000]], "species": ["Tb", "Sc", "Nb", "Nb", "Nb", "Nb"], "fractional_positions": [[0.000, 0.000, 0.000], [0.750, 0.750, 0.750], [0.375, 0.375, 0.375], [0.375, 0.375, 0.876], [0.375, 0.876, 0.375], [0.876, 0.375, 0.375]], "n_ef_per_ev_cell": 11.397, "total_magnetization_mub_per_cell": 0.000, "e_form_ev_per_atom": 0.168, "final_energy_ev_per_atom": -8.372, "crystal_system": "cubic", "mass_density_g_cm3": 7.4}

{"formula": "ScNbTc4", "functional": "PBE", "state": "relaxed", "cell": [[0.000, 3.680, 3.680], [3.680, 0.000, 3.680], [3.680, 3.680, 0.000]], "species": ["Sc", "Nb", "Tc", "Tc", "Tc", "Tc"], "fractional_positions": [[0.000, 0.000, 0.000], [0.250, 0.250, 0.250], [0.125, 0.625, 0.625], [0.625, 0.125, 0.625], [0.625, 0.625, 0.125], [0.625, 0.625, 0.625]], "n_ef_per_ev_cell": 8.682, "total_magnetization_mub_per_cell": 0.000, "e_form_ev_per_atom": -0.164, "final_energy_ev_per_atom": -9.808, "crystal_system": "cubic", "mass_density_g_cm3": 8.8}

{"formula": "ScNb2Tc2", "functional": "PBE", "state": "relaxed", "cell": [[7.719, 0.000, 0.000], [0.000, 7.719, 0.000], [0.000, 0.000, 3.011]], "species": ["Sc", "Sc", "Nb", "Nb", "Nb", "Nb", "Tc", "Tc", "Tc", "Tc"], "fractional_positions": [[0.000, 0.000, 0.000], [0.500, 0.500, 0.000], [0.146, 0.354, 0.000], [0.354, 0.854, 0.000], [0.646, 0.146, 0.000], [0.854, 0.646, 0.000], [0.155, 0.655, 0.500], [0.345, 0.155, 0.500], [0.655, 0.845, 0.500], [0.845, 0.345, 0.500]], "n_ef_per_ev_cell": 11.024, "de_polymorph_mev_per_atom": 316, "total_magnetization_mub_per_cell": 0.000, "e_form_ev_per_atom": 0.068, "final_energy_ev_per_atom": -9.372, "crystal_system": "tetragonal", "mass_density_g_cm3": 7.9}

{"formula": "ScNb2Tc2", "functional": "PBE", "state": "relaxed", "cell": [[3.219, 0.000, 0.000], [0.000, 4.646, 0.000], [-1.630, 0.000, 11.427]], "species": ["Sc", "Sc", "Nb", "Nb", "Nb", "Nb", "Tc", "Tc", "Tc", "Tc"], "fractional_positions": [[0.145, 0.250, 0.290], [0.855, 0.750, 0.710], [0.049, 0.750, 0.098], [0.240, 0.750, 0.480], [0.760, 0.250, 0.520], [0.951, 0.250, 0.902], [0.352, 0.250, 0.704], [0.455, 0.750, 0.908], [0.545, 0.250, 0.092], [0.648, 0.750, 0.296]], "n_ef_per_ev_cell": 8.656, "de_polymorph_mev_per_atom": 0, "total_magnetization_mub_per_cell": 0.000, "e_form_ev_per_atom": -0.247, "final_energy_ev_per_atom": -9.688, "crystal_system": "monoclinic", "mass_density_g_cm3": 8.3}

{"formula": "ScNb2Tc2", "functional": "PBE", "state": "relaxed", "cell": [[7.574, 0.000, 0.000], [0.000, 7.574, 0.000], [0.000, 0.000, 3.143]], "species": ["Sc", "Sc", "Nb", "Nb", "Nb", "Nb", "Tc", "Tc", "Tc", "Tc"], "fractional_positions": [[0.000, 0.000, 0.000], [0.500, 0.500, 0.000], [0.151, 0.349, 0.500], [0.349, 0.849, 0.500], [0.651, 0.151, 0.500], [0.849, 0.651, 0.500], [0.146, 0.646, 0.000], [0.354, 0.146, 0.000], [0.646, 0.854, 0.000], [0.854, 0.354, 0.000]], "n_ef_per_ev_cell": 8.962, "de_polymorph_mev_per_atom": 261, "total_magnetization_mub_per_cell": 0.000, "e_form_ev_per_atom": 0.014, "final_energy_ev_per_atom": -9.427, "crystal_system": "tetragonal", "mass_density_g_cm3": 7.9}

{"formula": "ScNb2Tc3", "functional": "PBE", "state": "relaxed", "cell": [[3.196, 0.000, 0.000], [0.000, 3.196, 0.000], [0.000, 0.000, 9.724]], "species": ["Sc", "Nb", "Nb", "Tc", "Tc", "Tc"], "fractional_positions": [[0.000, 0.000, 0.000], [0.000, 0.000, 0.333], [0.000, 0.000, 0.667], [0.500, 0.500, 0.177], [0.500, 0.500, 0.500], [0.500, 0.500, 0.823]], "n_ef_per_ev_cell": 5.663, "total_magnetization_mub_per_cell": 0.000, "e_form_ev_per_atom": -0.307, "final_energy_ev_per_atom": -9.902, "crystal_system": "tetragonal", "mass_density_g_cm3": 8.8}

{"formula": "ScNb2Tc", "functional": "PBE", "state": "relaxed", "cell": [[3.259, 0.000, 0.000], [0.000, 4.668, 0.000], [0.000, 0.000, 9.451]], "species": ["Sc", "Sc", "Nb", "Nb", "Nb", "Nb", "Tc", "Tc"], "fractional_positions": [[0.000, 0.000, 0.000], [0.500, 0.500, 0.500], [0.000, 0.500, 0.229], [0.000, 0.500, 0.771], [0.500, 0.000, 0.271], [0.500, 0.000, 0.729], [0.000, 0.000, 0.500], [0.500, 0.500, 0.000]], "n_ef_per_ev_cell": 7.863, "de_polymorph_mev_per_atom": 0, "total_magnetization_mub_per_cell": 0.000, "e_form_ev_per_atom": -0.149, "final_energy_ev_per_atom": -9.359, "crystal_system": "orthorhombic", "mass_density_g_cm3": 7.6}